A geometry-optimized TlNiO2F structure. Source: the Alexandria database, functional PBE+U.

V = 60 Å³ per cell
M_tot = 1.54 μB/cell
E = -4.207 eV per atom
space-group type = No. 123

Lattice parameters (Å, degrees): 3.9530 3.9530 3.8581 90.00 90.00 90.00
Atoms (fractional coordinates):
Tl 0.0000 0.0000 0.0000
Ni 0.5000 0.5000 0.5000
O 0.0000 0.5000 0.5000
O 0.5000 0.0000 0.5000
F 0.5000 0.5000 0.0000